No. 1
Here is crystalline RbCaGaS3 at its relaxed geometry from Alexandria via LeMat-Bulk. Energies are from PBE-GGA.

**M_tot**: 0.0 μB per formula unit
**Mass density**: 3.0 g/cm3
**E_form (uncorrected)**: -1.1008 eV per atom

Geometry as CIF:
```
data_RbCaGaS3
_chemical_formula_sum 'Rb4 Ca4 Ga4 S12'
_space_group_name_H-M_alt 'C 1 2/m 1'
_space_group_IT_number 12
_space_group_name_Hall '-C 2y'
_cell_length_a 15.464
_cell_length_b 4.957
_cell_length_c 8.647
_cell_angle_alpha 90.00
_cell_angle_beta 104.10
_cell_angle_gamma 90.00
loop_
_atom_site_label
_atom_site_type_symbol
_atom_site_fract_x
_atom_site_fract_y
_atom_site_fract_z
_atom_site_occupancy
Rb1 Rb 0.150 0.000 0.060 1
Ca1 Ca 0.144 0.000 0.564 1
Ga1 Ga 0.013 0.500 0.287 1
S1 S 0.004 0.000 0.286 1
S2 S 0.137 0.500 0.755 1
S3 S 0.164 0.500 0.345 1
```



No. 2
Here is crystalline AgICl2 at its relaxed geometry from Alexandria via LeMat-Bulk. Energies are from PBE-GGA.

**M_tot**: 2.0 μB per formula unit
**Mass density**: 4.3 g/cm3
**Fermi-level density of states**: 0.4312 states/eV/atom
**Excess energy over the best structure of this formula in the dataset**: 1.18 eV/f.u.
**E_form (uncorrected)**: 0.0361 eV per atom

Geometry as CIF:
```
data_AgICl2
_chemical_formula_sum 'Ag4 I4 Cl8'
_space_group_name_H-M_alt 'I -4 2 d'
_space_group_IT_number 122
_space_group_name_Hall 'I -4 2bw'
_cell_length_a 7.689
_cell_length_b 7.689
_cell_length_c 7.900
_cell_angle_alpha 90.00
_cell_angle_beta 90.00
_cell_angle_gamma 90.00
loop_
_atom_site_label
_atom_site_type_symbol
_atom_site_fract_x
_atom_site_fract_y
_atom_site_fract_z
_atom_site_occupancy
Ag1 Ag 0.000 0.000 0.000 1
I1 I 0.000 0.000 0.500 1
Cl1 Cl 0.184 0.250 0.125 1
```



No. 3
Here is crystalline AcGeIrN at its relaxed geometry from Alexandria via LeMat-Bulk. Energies are from PBE-GGA.

**M_tot**: 0.0 μB per formula unit
**Mass density**: 11.3 g/cm3
**Fermi-level density of states**: 0.3684 states/eV/atom
**E_form (uncorrected)**: -0.8478 eV per atom

Geometry as CIF:
```
data_AcGeIrN
_chemical_formula_sum 'Ac2 Ge2 Ir2 N2'
_space_group_name_H-M_alt 'P 4/n m m'
_space_group_IT_number 129
_cell_length_a 4.147
_cell_length_b 4.147
_cell_length_c 8.682
_cell_angle_alpha 90.00
_cell_angle_beta 90.00
_cell_angle_gamma 90.00
loop_
_space_group_symop_operation_xyz
'x,y,z'
'-x,-y,-z'
'-y+1/2,x,z'
'y+1/2,-x,-z'
'-x+1/2,-y+1/2,z'
'x+1/2,y+1/2,-z'
'y,-x+1/2,z'
'-y,x+1/2,-z'
'x+1/2,-y,-z'
'-x+1/2,y,z'
'-y,-x,-z'
'y,x,z'
'-x,y+1/2,-z'
'x,-y+1/2,z'
'y+1/2,x+1/2,-z'
'-y+1/2,-x+1/2,z'
loop_
_atom_site_label
_atom_site_type_symbol
_atom_site_fract_x
_atom_site_fract_y
_atom_site_fract_z
_atom_site_occupancy
Ac1 Ac 0.250 0.250 0.161 1
Ge1 Ge 0.250 0.250 0.653 1
Ir1 Ir 0.250 0.750 0.500 1
N1 N 0.250 0.250 0.873 1
```



No. 4
Here is crystalline NpInAgO6 at its relaxed geometry from Alexandria via LeMat-Bulk. Energies are from PBE-GGA.

**M_tot**: 0.8 μB per formula unit
**Mass density**: 7.3 g/cm3
**Fermi-level density of states**: 0.6025 states/eV/atom
**E_form (uncorrected)**: -1.6043 eV per atom

Geometry as CIF:
```
data_NpInAgO6
_chemical_formula_sum 'Np2 In2 Ag2 O12'
_space_group_name_H-M_alt 'P 42 n m'
_space_group_IT_number 102
_space_group_name_Hall 'P 4n -2n'
_cell_length_a 5.040
_cell_length_b 5.040
_cell_length_c 9.955
_cell_angle_alpha 90.00
_cell_angle_beta 90.00
_cell_angle_gamma 90.00
loop_
_atom_site_label
_atom_site_type_symbol
_atom_site_fract_x
_atom_site_fract_y
_atom_site_fract_z
_atom_site_occupancy
Np1 Np 0.000 0.000 0.000 1
In1 In 0.000 0.000 0.336 1
Ag1 Ag 0.000 0.000 0.666 1
O1 O 0.184 0.184 0.156 1
O2 O 0.196 0.196 0.852 1
O3 O 0.213 0.213 0.493 1
```



No. 5
Here is crystalline LaScSi3 at its relaxed geometry from Alexandria via LeMat-Bulk. Energies are from PBE-GGA.

**M_tot**: 0.0 μB per formula unit
**Mass density**: 4.4 g/cm3
**Fermi-level density of states**: 0.3756 states/eV/atom
**Excess energy over the best structure of this formula in the dataset**: 0.00 eV/f.u.
**E_form (uncorrected)**: -0.6946 eV per atom

Geometry as CIF:
```
data_LaScSi3
_chemical_formula_sum 'La4 Sc4 Si12'
_space_group_name_H-M_alt 'C m c m'
_space_group_IT_number 63
_space_group_name_Hall '-C 2c 2'
_cell_length_a 4.250
_cell_length_b 24.181
_cell_length_c 3.925
_cell_angle_alpha 90.00
_cell_angle_beta 90.00
_cell_angle_gamma 90.00
loop_
_atom_site_label
_atom_site_type_symbol
_atom_site_fract_x
_atom_site_fract_y
_atom_site_fract_z
_atom_site_occupancy
La1 La 0.000 0.074 0.250 1
Sc1 Sc 0.000 0.203 0.750 1
Si1 Si 0.000 0.316 0.750 1
Si2 Si 0.000 0.374 0.250 1
Si3 Si 0.000 0.474 0.250 1
```



No. 6
Here is crystalline BeCrPdRh at its relaxed geometry from Alexandria via LeMat-Bulk. Energies are from PBE-GGA.

**M_tot**: 3.0 μB per formula unit
**Mass density**: 8.7 g/cm3
**Fermi-level density of states**: 0.9072 states/eV/atom
**DFT formation energy**: -177 meV/atom

Geometry as CIF:
```
data_BeCrPdRh
_chemical_formula_sum 'Be4 Cr4 Pd4 Rh4'
_space_group_name_H-M_alt 'F -4 3 m'
_space_group_IT_number 216
_space_group_name_Hall 'F -4 2 3'
_cell_length_a 5.901
_cell_length_b 5.901
_cell_length_c 5.901
_cell_angle_alpha 90.00
_cell_angle_beta 90.00
_cell_angle_gamma 90.00
loop_
_atom_site_label
_atom_site_type_symbol
_atom_site_fract_x
_atom_site_fract_y
_atom_site_fract_z
_atom_site_occupancy
Be1 Be 0.000 0.000 0.000 1
Cr1 Cr 0.000 0.000 0.500 1
Pd1 Pd 0.250 0.250 0.250 1
Rh1 Rh 0.250 0.250 0.750 1
```



No. 7
Here is crystalline RbHfTl3 at its relaxed geometry from Alexandria via LeMat-Bulk. Energies are from PBE-GGA.

**M_tot**: 0.0 μB per formula unit
**Mass density**: 7.7 g/cm3
**Fermi-level density of states**: 0.9355 states/eV/atom
**Excess energy over the best structure of this formula in the dataset**: 0.00 eV/f.u.
**DFT formation energy**: 245 meV/atom

Geometry as CIF:
```
data_RbHfTl3
_chemical_formula_sum 'Rb1 Hf1 Tl3'
_space_group_name_H-M_alt 'P m -3 m'
_space_group_IT_number 221
_space_group_name_Hall '-P 4 2 3'
_cell_length_a 5.751
_cell_length_b 5.751
_cell_length_c 5.751
_cell_angle_alpha 90.00
_cell_angle_beta 90.00
_cell_angle_gamma 90.00
loop_
_atom_site_label
_atom_site_type_symbol
_atom_site_fract_x
_atom_site_fract_y
_atom_site_fract_z
_atom_site_occupancy
Rb1 Rb 0.000 0.000 0.000 1
Hf1 Hf 0.500 0.500 0.500 1
Tl1 Tl 0.000 0.500 0.500 1
```



No. 8
Here is crystalline SrInPbC2 at its relaxed geometry from Alexandria via LeMat-Bulk. Energies are from PBE-GGA.

**M_tot**: 0.0 μB per formula unit
**Mass density**: 5.8 g/cm3
**Fermi-level density of states**: 0.9844 states/eV/atom
**DFT formation energy**: 2001 meV/atom

Geometry as CIF:
```
data_SrInPbC2
_chemical_formula_sum 'Sr1 In1 Pb1 C2'
_space_group_name_H-M_alt 'P 4/m m m'
_space_group_IT_number 123
_space_group_name_Hall '-P 4 2'
_cell_length_a 4.518
_cell_length_b 4.518
_cell_length_c 6.046
_cell_angle_alpha 90.00
_cell_angle_beta 90.00
_cell_angle_gamma 90.00
loop_
_atom_site_label
_atom_site_type_symbol
_atom_site_fract_x
_atom_site_fract_y
_atom_site_fract_z
_atom_site_occupancy
Sr1 Sr 0.000 0.000 0.000 1
In1 In 0.000 0.000 0.500 1
Pb1 Pb 0.500 0.500 0.000 1
C1 C 0.000 0.500 0.500 1
```



No. 9
Here is crystalline Na2LiI3 at its relaxed geometry from Alexandria via LeMat-Bulk. Energies are from PBE-GGA.

**M_tot**: 0.0 μB per formula unit
**Mass density**: 3.7 g/cm3
**Fermi-level density of states**: 0.0000 states/eV/atom
**Excess energy over the best structure of this formula in the dataset**: 0.03 eV/f.u.
**E_form (uncorrected)**: -1.2166 eV per atom

Geometry as CIF:
```
data_Na2LiI3
_chemical_formula_sum 'Na4 Li2 I6'
_space_group_name_H-M_alt 'I 4/m m m'
_space_group_IT_number 139
_space_group_name_Hall '-I 4 2'
_cell_length_a 4.524
_cell_length_b 4.524
_cell_length_c 18.959
_cell_angle_alpha 90.00
_cell_angle_beta 90.00
_cell_angle_gamma 90.00
loop_
_atom_site_label
_atom_site_type_symbol
_atom_site_fract_x
_atom_site_fract_y
_atom_site_fract_z
_atom_site_occupancy
Na1 Na 0.000 0.000 0.167 1
Li1 Li 0.000 0.000 0.500 1
I1 I 0.000 0.000 0.000 1
I2 I 0.000 0.000 0.339 1
```



No. 10
Here is crystalline ErScZn2Au4 at its relaxed geometry from Alexandria via LeMat-Bulk. Energies are from PBE-GGA.

**M_tot**: 0.0 μB per formula unit
**Mass density**: 12.5 g/cm3
**Fermi-level density of states**: 0.4297 states/eV/atom
**DFT formation energy**: -626 meV/atom

Geometry as CIF:
```
data_ErScZn2Au4
_chemical_formula_sum 'Er3 Sc3 Zn6 Au12'
_space_group_name_H-M_alt 'R -3 m'
_space_group_IT_number 166
_space_group_name_Hall '-R 3 2"'
_cell_length_a 4.7375
_cell_length_b 4.7375
_cell_length_c 23.1241
_cell_angle_alpha 90.00
_cell_angle_beta 90.00
_cell_angle_gamma 120.00
loop_
_atom_site_label
_atom_site_type_symbol
_atom_site_fract_x
_atom_site_fract_y
_atom_site_fract_z
_atom_site_occupancy
Er1 Er 0.0000 0.0000 0.0000 1
Sc1 Sc 0.0000 0.0000 0.5000 1
Zn1 Zn 0.0000 0.0000 0.2501 1
Au1 Au 0.0000 0.0000 0.1296 1
Au2 Au 0.0000 0.0000 0.3789 1
```